BaDyOs2O8, optimized geometry, DFT GGA-PBE; total DFT energy (no corrections) = -7.397 eV per atom; mass density = 5774 kg/m3; volume = 232.5 Å³/cell; symmetry = P-3m1, No. 164; raw formation energy = -1.676 eV per atom; total magnetization = 3.0 μB per formula unit
1.0
-1.2394 4.5763 3.5861
-4.3565 -3.6074 -1.8292
1.1332 -4.4404 6.0580
O Dy Os Ba
8 1 2 1
direct
0.1638 0.8364 0.6956
0.6667 0.3333 0.9904
0.6726 0.8362 0.6956
0.1636 0.3274 0.6956
0.3333 0.6667 0.0096
0.8364 0.6726 0.3044
0.3274 0.1638 0.3044
0.8362 0.1636 0.3044
0.0000 0.0000 0.5000
0.3333 0.6667 0.7720
0.6667 0.3333 0.2280
0.0000 0.0000 0.0000